ThGe2Bi2Pd7: optimized geometry, GGA-PBE.

a = 4.122 Å, b = 4.122 Å, c = 14.261 Å
α = 84.76°, β = 84.76°, γ = 89.51°
Fractional positions:
Pd (0.951, 0.452, 0.153)
Pd (0.500, 0.500, 0.000)
Bi (0.878, 0.878, 0.380)
Pd (0.548, 0.049, 0.847)
Th (0.000, 0.000, 0.000)
Pd (0.657, 0.657, 0.566)
Ge (0.417, 0.417, 0.259)
Pd (0.049, 0.548, 0.847)
Pd (0.343, 0.343, 0.434)
Ge (0.583, 0.583, 0.741)
Bi (0.122, 0.122, 0.620)
Pd (0.452, 0.951, 0.153)

Computed properties:
Total magnetization: 0.000 μB per atom
Energy: -5.53 eV per atom
SG: No. 12
Mass density: 10.6 g/cm³
D(E_F): 4.27 states/eV/f.u.
Formation energy: -463.7 meV/atom